DFT (GGA+U) results for crystalline FeIrN2O at its relaxed geometry.

Cell lengths 3.8247, 3.8247, 3.6610 Å; angles 90.00, 90.00, 90.00 degrees
With the nearest neighbours (Å) after each atom.
Positions (direct):
Fe  0.0000  0.0000  0.0000  2 O 1.83, 4 N 1.91
Ir  0.5000  0.5000  0.5000  8 N 2.65, 4 O 2.70
N  0.0000  0.5000  0.0000  2 Fe 1.91
N  0.5000  0.0000  0.0000  2 Fe 1.91
O  0.0000  0.0000  0.5000  2 Fe 1.83

Summary:
SG: P4/mmm
Density: 9056 kg/m3
DOS at the Fermi energy: 0.92 states/eV per atom
Total energy: -5.783 eV per atom
Total moment: 4.67 μB/f.u.